1.
Computed, not measured: a relaxed TmMgAu crystal at the PBE level of DFT.

Lattice parameters (Å, degrees): 5.048 5.048 6.021 90.00 90.00 120.00
Positions (direct):
Tm 0.333 0.667 0.250
Tm 0.667 0.333 0.750
Mg 0.000 0.000 0.000
Mg 0.000 0.000 0.500
Au 0.333 0.667 0.750
Au 0.667 0.333 0.250

Results
Raw total energy in eV per atom: -3.749
DOS at the Fermi energy in states/eV per cell: 4.73
Formation energy from the elements in kJ per mole of atoms: -61
Crystal system: hexagonal

***

2.
Computed, not measured: a relaxed Tm2Mg3Au4 crystal at the PBE level of DFT.

Lattice parameters (Å, degrees): 8.677 8.677 7.751 90.00 90.00 139.68
Positions (direct):
Tm 0.100 0.900 0.903
Tm 0.400 0.600 0.403
Tm 0.600 0.400 0.597
Tm 0.900 0.100 0.097
Mg 0.000 0.000 0.500
Mg 0.024 0.476 0.750
Mg 0.476 0.024 0.250
Mg 0.500 0.500 0.000
Mg 0.524 0.976 0.750
Mg 0.976 0.524 0.250
Au 0.171 0.829 0.544
Au 0.193 0.307 0.750
Au 0.307 0.193 0.250
Au 0.329 0.671 0.044
Au 0.671 0.329 0.956
Au 0.693 0.807 0.750
Au 0.807 0.693 0.250
Au 0.829 0.171 0.456

Results
Raw total energy in eV per atom: -3.617
DOS at the Fermi energy in states/eV per cell: 9.45
Formation energy from the elements in kJ per mole of atoms: -61
Crystal system: orthorhombic
E above lowest polymorph in meV/atom: 32

***

3.
Computed, not measured: a relaxed TmMgAu crystal at the PBE level of DFT.

Lattice parameters (Å, degrees): 7.623 7.623 3.973 90.00 90.00 120.00
Positions (direct):
Tm 0.000 0.590 0.000
Tm 0.410 0.410 0.000
Tm 0.590 0.000 0.000
Mg 0.000 0.251 0.500
Mg 0.251 0.000 0.500
Mg 0.749 0.749 0.500
Au 0.000 0.000 0.000
Au 0.333 0.667 0.500
Au 0.667 0.333 0.500

Results
Raw total energy in eV per atom: -3.798
DOS at the Fermi energy in states/eV per cell: 9.42
Formation energy from the elements in kJ per mole of atoms: -66
Crystal system: hexagonal

***

4.
Computed, not measured: a relaxed TmMgAu crystal at the PBE level of DFT.

Lattice parameters (Å, degrees): 4.125 4.125 8.885 103.52 103.52 88.74
Positions (direct):
Tm 0.179 0.179 0.359
Tm 0.821 0.821 0.641
Mg 0.251 0.251 0.000
Mg 0.749 0.749 0.000
Au 0.356 0.356 0.712
Au 0.644 0.644 0.288

Results
Raw total energy in eV per atom: -3.603
DOS at the Fermi energy in states/eV per cell: 3.99
Formation energy from the elements in kJ per mole of atoms: -47
Crystal system: monoclinic

***

5.
Computed, not measured: a relaxed TmMg2Au crystal at the PBE level of DFT.

Lattice parameters (Å, degrees): 4.247 4.247 4.872 90.00 90.00 90.00
Positions (direct):
Tm 0.000 0.000 0.000
Mg 0.000 0.500 0.500
Mg 0.500 0.000 0.500
Au 0.500 0.500 0.000

Results
Raw total energy in eV per atom: -3.118
DOS at the Fermi energy in states/eV per cell: 2.32
Formation energy from the elements in kJ per mole of atoms: -37
Crystal system: tetragonal

***

6.
Computed, not measured: a relaxed TmMg2Au crystal at the PBE level of DFT.

Lattice parameters (Å, degrees): 4.884 4.884 4.884 60.00 60.00 60.00
Positions (direct):
Tm 0.000 0.000 0.000
Mg 0.250 0.250 0.250
Mg 0.750 0.750 0.750
Au 0.500 0.500 0.500

Results
Raw total energy in eV per atom: -3.012
DOS at the Fermi energy in states/eV per cell: 1.64
Formation energy from the elements in kJ per mole of atoms: -27
Crystal system: cubic

***

7.
Computed, not measured: a relaxed Tm3MgAu2 crystal at the PBE level of DFT.

Lattice parameters (Å, degrees): 3.615 3.615 10.846 90.00 90.00 90.00
Positions (direct):
Tm 0.000 0.000 0.000
Tm 0.000 0.000 0.318
Tm 0.000 0.000 0.682
Mg 0.500 0.500 0.500
Au 0.500 0.500 0.169
Au 0.500 0.500 0.831

Results
Raw total energy in eV per atom: -4.207
DOS at the Fermi energy in states/eV per cell: 4.79
Formation energy from the elements in kJ per mole of atoms: -59
Crystal system: tetragonal

***

8.
Computed, not measured: a relaxed TmMgAu4 crystal at the PBE level of DFT.

Lattice parameters (Å, degrees): 5.133 5.133 7.180 109.96 109.96 41.52
Positions (direct):
Tm 0.000 0.000 0.000
Mg 0.000 0.000 0.500
Au 0.336 0.336 0.179
Au 0.339 0.339 0.661
Au 0.661 0.661 0.339
Au 0.664 0.664 0.821

Results
Raw total energy in eV per atom: -3.861
DOS at the Fermi energy in states/eV per cell: 2.32
Formation energy from the elements in kJ per mole of atoms: -64
Crystal system: monoclinic
E above lowest polymorph in meV/atom: 0

***

9.
Computed, not measured: a relaxed TmMg7Au4 crystal at the PBE level of DFT.

Lattice parameters (Å, degrees): 6.918 6.918 9.480 122.65 122.65 43.77
Positions (direct):
Tm 0.000 0.000 0.000
Mg 0.063 0.063 0.380
Mg 0.216 0.216 0.877
Mg 0.318 0.318 0.382
Mg 0.500 0.500 0.000
Mg 0.682 0.682 0.618
Mg 0.784 0.784 0.123
Mg 0.937 0.937 0.620
Au 0.303 0.303 0.669
Au 0.429 0.429 0.216
Au 0.571 0.571 0.784
Au 0.697 0.697 0.331

Results
Raw total energy in eV per atom: -2.636
DOS at the Fermi energy in states/eV per cell: 5.51
Formation energy from the elements in kJ per mole of atoms: -23
Crystal system: monoclinic

***

10.
Computed, not measured: a relaxed TmMgAu crystal at the PBE level of DFT.

Lattice parameters (Å, degrees): 6.221 6.221 6.221 147.79 147.79 46.20
Positions (direct):
Tm 0.000 0.000 0.000
Mg 0.709 0.709 0.000
Au 0.348 0.348 0.000

Results
Raw total energy in eV per atom: -3.635
DOS at the Fermi energy in states/eV per cell: 2.07
Formation energy from the elements in kJ per mole of atoms: -50
Crystal system: tetragonal

***

11.
Computed, not measured: a relaxed Tm5MgAu4 crystal at the PBE level of DFT.

Lattice parameters (Å, degrees): 3.578 3.578 18.064 90.00 90.00 90.00
Positions (direct):
Tm 0.000 0.000 0.000
Tm 0.000 0.000 0.195
Tm 0.000 0.000 0.388
Tm 0.000 0.000 0.612
Tm 0.000 0.000 0.805
Mg 0.500 0.500 0.500
Au 0.500 0.500 0.098
Au 0.500 0.500 0.298
Au 0.500 0.500 0.702
Au 0.500 0.500 0.902

Results
Raw total energy in eV per atom: -4.431
DOS at the Fermi energy in states/eV per cell: 7.05
Formation energy from the elements in kJ per mole of atoms: -70
Crystal system: tetragonal

***

12.
Computed, not measured: a relaxed YTmMgAu crystal at the PBE level of DFT.

Lattice parameters (Å, degrees): 3.685 3.685 7.244 90.00 90.00 90.00
Positions (direct):
Y 0.000 0.000 0.000
Tm 0.000 0.000 0.469
Mg 0.500 0.500 0.730
Au 0.500 0.500 0.250

Results
Raw total energy in eV per atom: -4.433
DOS at the Fermi energy in states/eV per cell: 3.37
Formation energy from the elements in kJ per mole of atoms: -46
Crystal system: tetragonal
E above lowest polymorph in meV/atom: 0

***

Repeat the first record exactly.
Computed, not measured: a relaxed TmMgAu crystal at the PBE level of DFT.

Lattice parameters (Å, degrees): 5.048 5.048 6.021 90.00 90.00 120.00
Positions (direct):
Tm 0.333 0.667 0.250
Tm 0.667 0.333 0.750
Mg 0.000 0.000 0.000
Mg 0.000 0.000 0.500
Au 0.333 0.667 0.750
Au 0.667 0.333 0.250

Results
Raw total energy in eV per atom: -3.749
DOS at the Fermi energy in states/eV per cell: 4.73
Formation energy from the elements in kJ per mole of atoms: -61
Crystal system: hexagonal

***

What did the tenth record say?
Computed, not measured: a relaxed TmMgAu crystal at the PBE level of DFT.

Lattice parameters (Å, degrees): 6.221 6.221 6.221 147.79 147.79 46.20
Positions (direct):
Tm 0.000 0.000 0.000
Mg 0.709 0.709 0.000
Au 0.348 0.348 0.000

Results
Raw total energy in eV per atom: -3.635
DOS at the Fermi energy in states/eV per cell: 2.07
Formation energy from the elements in kJ per mole of atoms: -50
Crystal system: tetragonal

***

Question: Which of these has the highest DOS at the Fermi energy?
Answer: Tm2Mg3Au4

***

Question: Look up the raw total energy of the fifth one.
Answer: -3.118 eV per atom